# 1
## ZnSb2WI (PBE-GGA)

Data for a relaxed structure of ZnSb2WI.

abc: 5.2038 5.2038 5.9028
angles: 90.00 90.00 90.00
Site moments in Bohr magnetons follow the coordinates.
Element x y z (fractional)
I: 0.0000 0.0000 0.5000  0.00
Sb: 0.0000 0.5000 0.0000  -0.02
Sb: 0.5000 0.0000 0.0000  -0.02
Zn: 0.5000 0.5000 0.5000  0.00
W: 0.0000 0.0000 0.0000  0.32

Summary:
- E_tot: -20.540 eV/cell
- E above lowest polymorph: 0.00 eV/f.u.
- Total moment: 0.0602 μB/atom
- Space group: No. 123

=====

# 2
## MgBeFe2 (PBE-GGA)

Data for a relaxed structure of MgBeFe2.

abc: 4.0763 4.0763 4.0763
angles: 60.00 60.00 60.00
Site moments in Bohr magnetons follow the coordinates.
Element x y z (fractional)
Be: 0.0000 0.0000 0.0000  -0.09
Mg: 0.5000 0.5000 0.5000  -0.03
Fe: 0.2500 0.2500 0.2500  1.99
Fe: 0.7500 0.7500 0.7500  1.99

Summary:
- E_tot: -21.014 eV/cell
- E above lowest polymorph: 0.95 eV/f.u.
- Formation energy: 0.308 eV per atom
- Total moment: 0.9408 μB/atom
- Space group: No. 225